# Sm3Ho4Er8, relaxed, DFT PBE
data_Sm3Ho4Er8
_chemical_formula_sum 'Sm6 Ho8 Er16'
_space_group_name_H-M_alt 'C 1 2/m 1'
_space_group_IT_number 12
_space_group_name_Hall '-C 2y'
_cell_length_a 13.2769
_cell_length_b 12.7938
_cell_length_c 6.6833
_cell_angle_alpha 90.00
_cell_angle_beta 120.14
_cell_angle_gamma 90.00
loop_
_atom_site_label
_atom_site_fract_x
_atom_site_fract_y
_atom_site_fract_z
Sm1 0.0000 0.0000 0.0000
Sm2 0.2500 0.2500 0.0000
Ho1 0.0000 0.0000 0.5000
Ho2 0.0000 0.5000 0.0000
Ho3 0.2500 0.2500 0.5000
Er1 0.0000 0.2540 0.0000
Er2 0.0000 0.3622 0.5000
Er3 0.2317 0.5000 0.9668
Er4 0.2350 0.5000 0.4900
# E (eV per atom): -4.1967
# M_tot (μB/f.u.): 0.0
# Theoretical density (g/cm3): 8.284

***

# CaNd2Sm, relaxed, DFT PBE
data_CaNd2Sm
_chemical_formula_sum 'Ca1 Nd2 Sm1'
_space_group_name_H-M_alt 'P 4/m m m'
_space_group_IT_number 123
_space_group_name_Hall '-P 4 2'
_cell_length_a 5.2501
_cell_length_b 5.2501
_cell_length_c 5.1701
_cell_angle_alpha 90.00
_cell_angle_beta 90.00
_cell_angle_gamma 90.00
loop_
_atom_site_label
_atom_site_fract_x
_atom_site_fract_y
_atom_site_fract_z
Ca1 0.0000 0.0000 0.0000
Nd1 0.0000 0.5000 0.5000
Sm1 0.5000 0.5000 0.0000
# Polymorph energy (0 for the lowest one) (eV/atom): 0.0476
# M_tot (μB/f.u.): 0.0
# Theoretical density (g/cm3): 5.581

***

# CaY5Ag6, relaxed, DFT PBE
data_CaY5Ag6
_chemical_formula_sum 'Ca2 Y10 Ag12'
_space_group_name_H-M_alt 'C m m m'
_space_group_IT_number 65
_space_group_name_Hall '-C 2 2'
_cell_length_a 5.1613
_cell_length_b 15.5412
_cell_length_c 7.2846
_cell_angle_alpha 90.00
_cell_angle_beta 90.00
_cell_angle_gamma 90.00
loop_
_atom_site_label
_atom_site_fract_x
_atom_site_fract_y
_atom_site_fract_z
Ca1 0.0000 0.0000 0.0000
Y1 0.0000 0.0000 0.5000
Y2 0.0000 0.3340 0.0000
Y3 0.0000 0.3341 0.5000
Ag1 0.0000 0.1699 0.2531
Ag2 0.0000 0.5000 0.2579
# E (eV per atom): -4.6146
# M_tot (μB/f.u.): 0.0
# Theoretical density (g/cm3): 6.433

***

# Mn2PtBr, relaxed, DFT PBE
data_Mn2PtBr
_chemical_formula_sum 'Mn8 Pt4 Br4'
_space_group_name_H-M_alt 'F m -3 m'
_space_group_IT_number 225
_space_group_name_Hall '-F 4 2 3'
_cell_length_a 6.0916
_cell_length_b 6.0916
_cell_length_c 6.0916
_cell_angle_alpha 90.00
_cell_angle_beta 90.00
_cell_angle_gamma 90.00
loop_
_atom_site_label
_atom_site_fract_x
_atom_site_fract_y
_atom_site_fract_z
Mn1 0.2500 0.2500 0.2500
Pt1 0.0000 0.0000 0.0000
Br1 0.0000 0.0000 0.5000
# Polymorph energy (0 for the lowest one) (eV/atom): 0.9609
# M_tot (μB/f.u.): 0.0
# Theoretical density (g/cm3): 11.309
# E_form (uncorrected) (eV/atom): 0.856

***

# SnPd4Au, relaxed, DFT PBE
data_SnPd4Au
_chemical_formula_sum 'Sn2 Pd8 Au2'
_space_group_name_H-M_alt 'C 1 2/m 1'
_space_group_IT_number 12
_space_group_name_Hall '-C 2y'
_cell_length_a 4.8710
_cell_length_b 8.7187
_cell_length_c 4.8588
_cell_angle_alpha 90.00
_cell_angle_beta 105.60
_cell_angle_gamma 90.00
loop_
_atom_site_label
_atom_site_fract_x
_atom_site_fract_y
_atom_site_fract_z
Sn1 0.0000 0.0000 0.0000
Pd1 0.0000 0.1657 0.5000
Pd2 0.0000 0.3348 0.0000
Au1 0.0000 0.5000 0.5000
# E (eV per atom): -5.0047
# M_tot (μB/f.u.): 0.0
# Theoretical density (g/cm3): 12.388

***

# NdEr2Ga4, relaxed, DFT PBE
data_NdEr2Ga4
_chemical_formula_sum 'Nd2 Er4 Ga8'
_space_group_name_H-M_alt 'I m m m'
_space_group_IT_number 71
_space_group_name_Hall '-I 2 2'
_cell_length_a 4.1511
_cell_length_b 4.2965
_cell_length_c 18.1972
_cell_angle_alpha 90.00
_cell_angle_beta 90.00
_cell_angle_gamma 90.00
loop_
_atom_site_label
_atom_site_fract_x
_atom_site_fract_y
_atom_site_fract_z
Nd1 0.0000 0.0000 0.0000
Er1 0.0000 0.5000 0.3149
Ga1 0.0000 0.0000 0.4318
Ga2 0.0000 0.5000 0.1488
# E (eV per atom): -4.3638
# M_tot (μB/f.u.): 0.0
# Theoretical density (g/cm3): 7.753

***

# TmCdHg, relaxed, DFT PBE
data_TmCdHg
_chemical_formula_sum 'Tm4 Cd4 Hg4'
_space_group_name_H-M_alt 'F -4 3 m'
_space_group_IT_number 216
_space_group_name_Hall 'F -4 2 3'
_cell_length_a 6.8524
_cell_length_b 6.8524
_cell_length_c 6.8524
_cell_angle_alpha 90.00
_cell_angle_beta 90.00
_cell_angle_gamma 90.00
loop_
_atom_site_label
_atom_site_fract_x
_atom_site_fract_y
_atom_site_fract_z
Tm1 0.0000 0.0000 0.0000
Cd1 0.0000 0.0000 0.5000
Hg1 0.2500 0.2500 0.2500
# E (eV per atom): -2.1023
# M_tot (μB/f.u.): 0.0
# Theoretical density (g/cm3): 9.949

***

# Tb8GaP3Se4, relaxed, DFT PBE
data_Tb8GaP3Se4
_chemical_formula_sum 'Tb24 Ga3 P9 Se12'
_space_group_name_H-M_alt 'R -3 m'
_space_group_IT_number 166
_space_group_name_Hall '-R 3 2"'
_cell_length_a 8.1484
_cell_length_b 8.1484
_cell_length_c 20.1691
_cell_angle_alpha 90.00
_cell_angle_beta 90.00
_cell_angle_gamma 120.00
loop_
_atom_site_label
_atom_site_fract_x
_atom_site_fract_y
_atom_site_fract_z
Tb1 0.0000 0.0000 0.2431
Tb2 0.0021 0.5010 0.7550
Ga1 0.0000 0.0000 0.5000
P1 0.0000 0.5000 0.5000
Se1 0.0000 0.0000 0.0000
Se2 0.0000 0.5000 0.0000
# M_tot (μB/f.u.): 0.0
# Theoretical density (g/cm3): 7.517
# E_form (uncorrected) (eV/atom): -1.634

***

# HgPb2N, relaxed, DFT PBE
data_HgPb2N
_chemical_formula_sum 'Hg4 Pb8 N4'
_space_group_name_H-M_alt 'F m -3 m'
_space_group_IT_number 225
_space_group_name_Hall '-F 4 2 3'
_cell_length_a 7.1741
_cell_length_b 7.1741
_cell_length_c 7.1741
_cell_angle_alpha 90.00
_cell_angle_beta 90.00
_cell_angle_gamma 90.00
loop_
_atom_site_label
_atom_site_fract_x
_atom_site_fract_y
_atom_site_fract_z
Hg1 0.0000 0.0000 0.0000
Pb1 0.2500 0.2500 0.2500
N1 0.0000 0.0000 0.5000
# Polymorph energy (0 for the lowest one) (eV/atom): 0.6113
# M_tot (μB/f.u.): 0.0
# Theoretical density (g/cm3): 11.315
# E_form (uncorrected) (eV/atom): 0.949

***

# Pm2TeF4, relaxed, DFT PBE
data_Pm2TeF4
_chemical_formula_sum 'Pm6 Te3 F12'
_space_group_name_H-M_alt 'R -3 m'
_space_group_IT_number 166
_space_group_name_Hall '-R 3 2"'
_cell_length_a 4.1337
_cell_length_b 4.1337
_cell_length_c 24.1276
_cell_angle_alpha 90.00
_cell_angle_beta 90.00
_cell_angle_gamma 120.00
loop_
_atom_site_label
_atom_site_fract_x
_atom_site_fract_y
_atom_site_fract_z
Pm1 0.0000 0.0000 0.2382
Te1 0.0000 0.0000 0.0000
F1 0.0000 0.0000 0.1400
F2 0.0000 0.0000 0.4340
# M_tot (μB/f.u.): 0.0
# Theoretical density (g/cm3): 6.887
# E_form (uncorrected) (eV/atom): -3.469

***

# LiAsHOs, relaxed, DFT PBE
data_LiAsHOs
_chemical_formula_sum 'Li2 As2 H2 Os2'
_space_group_name_H-M_alt 'C 1 m 1'
_space_group_IT_number 8
_space_group_name_Hall 'C -2y'
_cell_length_a 5.3532
_cell_length_b 2.9611
_cell_length_c 6.3598
_cell_angle_alpha 90.00
_cell_angle_beta 93.75
_cell_angle_gamma 90.00
loop_
_atom_site_label
_atom_site_fract_x
_atom_site_fract_y
_atom_site_fract_z
Li1 0.0000 0.0000 0.0000
As1 0.4565 0.0000 0.6366
H1 0.2922 0.0000 0.1789
Os1 0.2613 0.5000 0.3590
# Polymorph energy (0 for the lowest one) (eV/atom): 0.1459
# M_tot (μB/f.u.): 0.0
# Theoretical density (g/cm3): 9.016

***

# Tb2Dy3Sb3, relaxed, DFT PBE
data_Tb2Dy3Sb3
_chemical_formula_sum 'Tb4 Dy6 Sb6'
_space_group_name_H-M_alt 'P 63/m c m'
_space_group_IT_number 193
_space_group_name_Hall '-P 6c 2'
_cell_length_a 9.0031
_cell_length_b 9.0031
_cell_length_c 6.3134
_cell_angle_alpha 90.00
_cell_angle_beta 90.00
_cell_angle_gamma 120.00
loop_
_atom_site_label
_atom_site_fract_x
_atom_site_fract_y
_atom_site_fract_z
Tb1 0.3333 0.6667 0.0000
Dy1 0.0000 0.2468 0.2500
Sb1 0.0000 0.3882 0.7500
# M_tot (μB/f.u.): 0.0
# Theoretical density (g/cm3): 8.773
# E_form (uncorrected) (eV/atom): -0.929

***

# LiNbGa2, relaxed, DFT PBE
data_LiNbGa2
_chemical_formula_sum 'Li1 Nb1 Ga2'
_space_group_name_H-M_alt 'P 4/m m m'
_space_group_IT_number 123
_space_group_name_Hall '-P 4 2'
_cell_length_a 4.0339
_cell_length_b 4.0339
_cell_length_c 3.7842
_cell_angle_alpha 90.00
_cell_angle_beta 90.00
_cell_angle_gamma 90.00
loop_
_atom_site_label
_atom_site_fract_x
_atom_site_fract_y
_atom_site_fract_z
Li1 0.0000 0.0000 0.0000
Nb1 0.5000 0.5000 0.0000
Ga1 0.0000 0.5000 0.5000
# Polymorph energy (0 for the lowest one) (eV/atom): 0.0023
# M_tot (μB/f.u.): 0.0
# Theoretical density (g/cm3): 6.453

***

# W2Se, relaxed, DFT PBE
data_W2Se
_chemical_formula_sum 'W4 Se2'
_space_group_name_H-M_alt 'P n n m'
_space_group_IT_number 58
_space_group_name_Hall '-P 2 2n'
_cell_length_a 4.4418
_cell_length_b 5.9593
_cell_length_c 4.2098
_cell_angle_alpha 90.00
_cell_angle_beta 90.00
_cell_angle_gamma 90.00
loop_
_atom_site_label
_atom_site_fract_x
_atom_site_fract_y
_atom_site_fract_z
W1 0.2287 0.1262 0.0000
Se1 0.0000 0.5000 0.0000
# Polymorph energy (0 for the lowest one) (eV/atom): 1.0194
# M_tot (μB/f.u.): 0.0
# Theoretical density (g/cm3): 13.311
# E_form (uncorrected) (eV/atom): 1.075

***

# La2WSe, relaxed, DFT PBE
data_La2WSe
_chemical_formula_sum 'La4 W2 Se2'
_space_group_name_H-M_alt 'C m m m'
_space_group_IT_number 65
_space_group_name_Hall '-C 2 2'
_cell_length_a 6.7817
_cell_length_b 8.0349
_cell_length_c 3.6257
_cell_angle_alpha 90.00
_cell_angle_beta 90.00
_cell_angle_gamma 90.00
loop_
_atom_site_label
_atom_site_fract_x
_atom_site_fract_y
_atom_site_fract_z
La1 0.2500 0.2500 0.0000
W1 0.0000 0.0000 0.5000
Se1 0.0000 0.5000 0.5000
# Polymorph energy (0 for the lowest one) (eV/atom): 0.1010
# M_tot (μB/f.u.): 0.9
# Theoretical density (g/cm3): 9.088
# E_form (uncorrected) (eV/atom): -0.186

***

# BaMnRh, relaxed, DFT PBE
data_BaMnRh
_chemical_formula_sum 'Ba4 Mn4 Rh4'
_space_group_name_H-M_alt 'C 1 2/m 1'
_space_group_IT_number 12
_space_group_name_Hall '-C 2y'
_cell_length_a 6.6877
_cell_length_b 5.5142
_cell_length_c 9.1528
_cell_angle_alpha 90.00
_cell_angle_beta 91.41
_cell_angle_gamma 90.00
loop_
_atom_site_label
_atom_site_fract_x
_atom_site_fract_y
_atom_site_fract_z
Ba1 0.2476 0.0000 0.2075
Mn1 0.0000 0.2969 0.5000
Rh1 0.2082 0.0000 0.6051
# E (eV per atom): -5.9881
# M_tot (μB/f.u.): 0.0
# Theoretical density (g/cm3): 5.810

***

# CaHgAs2, relaxed, DFT PBE
data_CaHgAs2
_chemical_formula_sum 'Ca1 Hg1 As2'
_space_group_name_H-M_alt 'P 1 m 1'
_space_group_IT_number 6
_space_group_name_Hall 'P -2y'
_cell_length_a 4.7704
_cell_length_b 4.6533
_cell_length_c 4.9041
_cell_angle_alpha 90.00
_cell_angle_beta 107.61
_cell_angle_gamma 90.00
loop_
_atom_site_label
_atom_site_fract_x
_atom_site_fract_y
_atom_site_fract_z
Ca1 0.0000 0.0000 0.0000
Hg1 0.3802 0.5000 0.7601
As1 0.6076 0.0000 0.4055
As2 0.8196 0.5000 0.3289
# E (eV per atom): -3.2792
# M_tot (μB/f.u.): 0.0
# Theoretical density (g/cm3): 6.249